No. 1
Entry from Alexandria: a PBEsol-optimized structure of KTaRu (SCAN).

Formation energy from the elements   14.22 kcal/mol of atoms

a = 3.282 Å, b = 3.282 Å, c = 7.673 Å
α = 90.00°, β = 90.00°, γ = 120.00°
Sites, in units of the cell vectors:
Ru 0.333 0.667 0.609
K 0.000 0.000 0.979
Ta 0.667 0.333 0.412

***

No. 2
Entry from Alexandria: a PBEsol-optimized structure of ScSbRu2 (SCAN).

Formation energy without anion corrections   -418 meV per atom

a = 3.182 Å, b = 4.488 Å, c = 5.045 Å
α = 107.29°, β = 108.39°, γ = 90.00°
Sites, in units of the cell vectors:
Ru 0.999 0.067 0.998
Ru 0.248 0.682 0.496
Sc 0.744 0.190 0.489
Sb 0.509 0.561 0.017

***

No. 3
Entry from Alexandria: a PBEsol-optimized structure of Mg2SiAg (SCAN).

Formation energy without anion corrections   -56 meV per atom

a = 3.905 Å, b = 4.224 Å, c = 4.224 Å
α = 90.00°, β = 90.00°, γ = 90.00°
Sites, in units of the cell vectors:
Si 0.500 0.500 0.500
Mg 0.000 0.500 0.000
Mg 0.000 0.000 0.500
Ag 0.500 0.000 0.000

***

No. 4
Entry from Alexandria: a PBEsol-optimized structure of MgSc2Os (SCAN).

Formation energy from the elements   -5.44 kcal/mol of atoms

a = 3.261 Å, b = 4.664 Å, c = 5.802 Å
α = 113.70°, β = 106.32°, γ = 90.00°
Sites, in units of the cell vectors:
Mg 0.538 0.038 0.077
Sc 0.751 0.751 0.503
Sc 0.957 0.457 0.914
Os 0.253 0.253 0.507

***

No. 5
Entry from Alexandria: a PBEsol-optimized structure of LiWSe (SCAN).

Polymorph energy (0 for the lowest one)   0.000 eV/atom
Formation energy without anion corrections   395 meV per atom

a = 2.868 Å, b = 2.868 Å, c = 6.692 Å
α = 97.71°, β = 97.71°, γ = 111.96°
Sites, in units of the cell vectors:
Li 0.001 0.001 0.001
W 0.325 0.325 0.650
Se 0.674 0.674 0.349

***

No. 6
Entry from Alexandria: a PBEsol-optimized structure of Li3CrO4 (SCAN).

Polymorph energy (0 for the lowest one)   0.087 eV/atom
Formation energy without anion corrections   -2167 meV per atom

a = 2.860 Å, b = 4.868 Å, c = 4.868 Å
α = 107.57°, β = 90.00°, γ = 90.00°
Sites, in units of the cell vectors:
Li 0.500 0.000 0.500
Li 0.500 0.500 0.000
Li 0.000 0.500 0.500
O 0.000 0.224 0.776
O 0.500 0.772 0.772
O 0.000 0.776 0.224
O 0.500 0.228 0.228
Cr 0.000 0.000 0.000

***

No. 7
Entry from Alexandria: a PBEsol-optimized structure of HoCo2Si2 (SCAN).

Formation energy without anion corrections   -787 meV per atom

a = 3.821 Å, b = 3.821 Å, c = 5.521 Å
α = 110.24°, β = 110.24°, γ = 90.00°
Sites, in units of the cell vectors:
Co 0.750 0.250 0.500
Co 0.250 0.750 0.500
Si 0.628 0.628 0.256
Si 0.372 0.372 0.744
Ho 0.000 0.000 0.000

***

No. 8
Entry from Alexandria: a PBEsol-optimized structure of Cd2CoBr (SCAN).

Polymorph energy (0 for the lowest one)   0.000 eV/atom
Formation energy without anion corrections   109 meV per atom

a = 3.154 Å, b = 4.042 Å, c = 6.640 Å
α = 107.72°, β = 90.00°, γ = 90.00°
Sites, in units of the cell vectors:
Co 0.000 0.717 0.435
Br 0.500 0.574 0.148
Cd 0.500 0.274 0.548
Cd 0.000 0.919 0.839

***

- Number 6 is which compound?
  Li3CrO4